No. 1
Computed, not measured: a relaxed structure of Be2Se at the PBE level of DFT.

a b c (Å): 4.259 4.259 2.547
angles (deg): 90.00 90.00 120.00
Sites, in units of the cell vectors:
1 Se 0.667 0.333 0.333
2 Be 0.333 0.667 0.330
3 Be 0.000 0.000 0.337

Output
polymorph energy (0 for the lowest one)	944	meV per atom
D(E_F)	0.22	states/eV/atom
theoretical density	4.02	g/cm3
space-group type	P-3m1 (164)
uncorrected formation energy	0.655	eV per atom

=====

No. 2
Computed, not measured: a relaxed structure of TbCeRhAu at the PBE level of DFT.

a b c (Å): 5.043 5.043 5.043
angles (deg): 60.00 60.00 60.00
Last column: magnetic moment on the atom in μB.
Sites, in units of the cell vectors:
1 Ce 0.750 0.750 0.750  0.59
2 Rh 0.500 0.500 0.500  -0.05
3 Tb 0.250 0.250 0.250  0.03
4 Au 0.000 0.000 0.000  0.00

Output
formation energy	-0.69	eV/atom
D(E_F)	1.79	states/eV/atom
theoretical density	10.96	g/cm3
space-group type	F-43m (216)

=====

No. 3
Computed, not measured: a relaxed structure of CaCuMo4 at the PBE level of DFT.

a b c (Å): 5.355 5.355 5.355
angles (deg): 60.00 60.00 60.00
Sites, in units of the cell vectors:
1 Mo 0.876 0.375 0.375
2 Mo 0.375 0.375 0.375
3 Ca 0.750 0.750 0.750
4 Cu 0.000 0.000 0.000
5 Mo 0.375 0.876 0.375
6 Mo 0.375 0.375 0.876

Output
formation energy	0.61	eV/atom
D(E_F)	0.94	states/eV/atom
theoretical density	7.45	g/cm3
space-group type	F-43m (216)

=====

So what do the calculations give for E_tot? Going down the list: -9.0; -24.0; -45.8 eV per formula unit.